1.
An optimized crystal structure of Na3CaZn. Source: Alexandria, functional GGA-PBE.

It has space group Pm-3m (No. 221), with a = 6.821 Å, b = 6.821 Å, c = 6.821 Å, α = 90.00°, β = 90.00° and γ = 90.00°. The asymmetric unit holds Na at (0.000, 0.000, 0.500), Ca at (0.000, 0.000, 0.000) and Zn at (0.500, 0.500, 0.500).

For the magnetization, the calculation gives 0.00 μB per formula unit. The raw total energy is -3.87 eV per cell. Its energy above the most stable polymorph in this dataset is 470 meV/atom. The formation energy is 673 meV/atom.

---

2.
An optimized crystal structure of Tm4Bi2PbSe. Source: Alexandria, functional GGA-PBE.

It has space group P2/m (No. 10), with a = 7.504 Å, b = 4.327 Å, c = 7.525 Å, α = 90.00°, β = 109.31° and γ = 90.00°. The asymmetric unit holds Tm at (0.246, 0.000, 0.239), Tm at (0.249, 0.500, 0.760), Bi at (0.000, 0.000, 0.500), Bi at (0.500, 0.500, 0.500), Pb at (0.500, 0.000, 0.000) and Se at (0.000, 0.500, 0.000).

For the formation energy (no corrections), the calculation gives -7.16 eV/f.u. For the magnetization, the calculation gives 0.00 μB per formula unit. The raw total energy is -40.00 eV per cell.

---

3.
An optimized crystal structure of Ce2ScSn. Source: Alexandria, functional GGA-PBE.

It has space group R-3m (No. 166, hexagonal axes), with a = 3.2854 Å, b = 3.2854 Å, c = 35.8670 Å, α = 90.00°, β = 90.00° and γ = 120.00°. The asymmetric unit holds Ce at (0.0000, 0.0000, 0.0897), Sc at (0.0000, 0.0000, 0.5000) and Sn at (0.0000, 0.0000, 0.0000).

For the magnetization, the calculation gives 1.41 μB per formula unit. The raw total energy is -65.11 eV per cell. Its energy above the most stable polymorph in this dataset is 559 meV/atom. The formation energy is 124 meV/atom.

---

4.
An optimized crystal structure of ReSnO3. Source: Alexandria, functional GGA-PBE.

It has space group Pm-3m (No. 221), with a = 4.035 Å, b = 4.035 Å, c = 4.035 Å, α = 90.00°, β = 90.00° and γ = 90.00°. The asymmetric unit holds Re at (0.000, 0.000, 0.000), Sn at (0.500, 0.500, 0.500) and O at (0.000, 0.500, 0.500).

For the formation energy (no corrections), the calculation gives 0.09 eV/f.u. For the magnetization, the calculation gives 5.00 μB per formula unit. The raw total energy is -31.24 eV per cell.

---

Results for density: 0.9, 9.9, 6.6, 8.9 (in g cm⁻³, following the order of the records).